DFT (PBE) results for a geometry-optimized SrEuHfSbO6 structure.

a b c (Å): 5.915 5.915 5.915
angles (deg): 60.00 60.00 60.00
Positions (direct):
Sr  0.000  0.000  0.000
Eu  0.500  0.500  0.500
Hf  0.750  0.750  0.750
Sb  0.250  0.250  0.250
O  0.503  0.503  0.997
O  0.503  0.997  0.503
O  0.503  0.997  0.997
O  0.997  0.503  0.503
O  0.997  0.503  0.997
O  0.997  0.997  0.503

Values from the calculation:
- Density: 7.21 Mg/m³
- Total magnetic moment: 6.9 μB per formula unit
- ΔE_f (raw): -2.565 eV per atom
- Space-group type: No. 216
- E: -81.4 eV per cell
- Crystal system: cubic
- Density of states at the Fermi level: 15.71 states/eV per cell

DFT (PBE) results for a geometry-optimized SmEuHf4O12 structure.

a b c (Å): 8.195 5.683 5.683
angles (deg): 89.97 90.00 90.00
Positions (direct):
Sm  0.000  0.000  0.000
Eu  0.500  0.438  0.438
Hf  0.250  0.472  0.945
Hf  0.250  0.945  0.472
Hf  0.750  0.472  0.945
Hf  0.750  0.945  0.472
O  0.000  0.394  0.952
O  0.000  0.952  0.394
O  0.192  0.782  0.782
O  0.263  0.169  0.169
O  0.276  0.262  0.647
O  0.276  0.647  0.262
O  0.500  0.495  0.900
O  0.500  0.900  0.495
O  0.724  0.262  0.647
O  0.724  0.647  0.262
O  0.737  0.169  0.169
O  0.808  0.782  0.782

Values from the calculation:
- Density: 7.58 Mg/m³
- Total magnetic moment: 7.9 μB per formula unit
- ΔE_f (raw): -3.041 eV per atom
- Space-group type: No. 38
- E: -169.0 eV per cell
- Crystal system: orthorhombic
- Density of states at the Fermi level: 12.55 states/eV per cell

DFT (PBE) results for a geometry-optimized SmEuHfTiO6 structure.

a b c (Å): 5.690 5.690 5.690
angles (deg): 60.00 60.00 60.00
Positions (direct):
Sm  0.000  0.000  0.000
Eu  0.500  0.500  0.500
Hf  0.250  0.250  0.250
Ti  0.750  0.750  0.750
O  0.505  0.505  0.995
O  0.505  0.995  0.505
O  0.505  0.995  0.995
O  0.995  0.505  0.505
O  0.995  0.505  0.995
O  0.995  0.995  0.505

Values from the calculation:
- Density: 7.96 Mg/m³
- Total magnetic moment: 6.7 μB per formula unit
- ΔE_f (raw): -3.107 eV per atom
- Space-group type: No. 216
- E: -93.7 eV per cell
- Crystal system: cubic
- Density of states at the Fermi level: 2.86 states/eV per cell